Entry 1:
A geometry-optimized TlRe3Hg structure, computed with GGA-PBE.

Cell lengths 4.979, 4.979, 4.979 Å; angles 90.00, 90.00, 90.00 degrees
Each line ends with the local moment (μB).
Element x y z (fractional)
Re 0.000 0.500 0.000  1.39
Re 0.000 0.000 0.500  1.78
Re 0.500 0.000 0.000  1.17
Tl 0.000 0.000 0.000  0.01
Hg 0.500 0.500 0.500  -0.01

Calculated values
E = -23.59 eV per cell
Space-group type = No. 221
Calculated volume = 24.69 Å³/atom
Energy of formation = 317.0 kJ per mole of atoms

---

Entry 2:
A geometry-optimized TlReHg structure, computed with GGA-PBE.

Cell lengths 3.050, 3.050, 7.598 Å; angles 90.00, 90.00, 120.00 degrees
Each line ends with the local moment (μB).
Element x y z (fractional)
Hg 0.000 0.000 0.022  0.01
Re 0.667 0.333 0.329  0.36
Tl 0.333 0.667 0.648  0.00

Calculated values
E = -12.22 eV per cell
Space-group type = No. 156
Calculated volume = 20.40 Å³/atom
Energy of formation = 93.3 kJ per mole of atoms

---

Entry 3:
A geometry-optimized TlRe3Hg structure, computed with GGA-PBE.

Cell lengths 4.969, 4.969, 4.969 Å; angles 90.00, 90.00, 90.00 degrees
Each line ends with the local moment (μB).
Element x y z (fractional)
Re 0.000 0.500 0.000  1.30
Re 0.000 0.000 0.500  1.96
Re 0.500 0.000 0.000  1.17
Tl 0.500 0.500 0.500  -0.01
Hg 0.000 0.000 0.000  0.05

Calculated values
E = -24.48 eV per cell
Space-group type = No. 221
Calculated volume = 24.53 Å³/atom
Energy of formation = 299.7 kJ per mole of atoms

---

Entry 4:
A geometry-optimized TlReHg structure, computed with GGA-PBE.

Cell lengths 9.387, 9.156, 2.924 Å; angles 85.42, 76.49, 18.09 degrees
Element x y z (fractional)
Hg 0.979 0.979 0.021
Re 0.335 0.335 0.665
Tl 0.686 0.686 0.314

Calculated values
E = -12.27 eV per cell
Space-group type = No. 42
Calculated volume = 22.31 Å³/atom
Energy of formation = 91.6 kJ per mole of atoms

---

Entry 5:
A geometry-optimized TlReHg structure, computed with GGA-PBE.

Cell lengths 4.673, 4.673, 4.673 Å; angles 60.00, 60.00, 60.00 degrees
Each line ends with the local moment (μB).
Element x y z (fractional)
Hg 0.500 0.500 0.500  0.02
Re 0.750 0.750 0.750  1.80
Tl 0.000 0.000 0.000  -0.02

Calculated values
E = -11.40 eV per cell
Space-group type = No. 216
Calculated volume = 24.05 Å³/atom
Energy of formation = 119.5 kJ per mole of atoms

---

Entry 6:
A geometry-optimized TlReHg structure, computed with GGA-PBE.

Cell lengths 7.901, 7.901, 7.901 Å; angles 158.81, 158.81, 30.14 degrees
Element x y z (fractional)
Hg 0.980 0.980 0.000
Re 0.339 0.339 0.000
Tl 0.681 0.681 0.000

Calculated values
E = -11.98 eV per cell
Space-group type = No. 107
Calculated volume = 21.47 Å³/atom
Energy of formation = 100.9 kJ per mole of atoms

---

Entry 7:
A geometry-optimized TlReHg structure, computed with GGA-PBE.

Cell lengths 5.539, 5.539, 5.539 Å; angles 149.93, 133.51, 56.37 degrees
Element x y z (fractional)
Hg 0.980 0.980 0.000
Re 0.346 0.346 0.000
Tl 0.673 0.673 0.000

Calculated values
E = -11.76 eV per cell
Space-group type = No. 44
Calculated volume = 20.45 Å³/atom
Energy of formation = 107.8 kJ per mole of atoms

---

Entry 8:
A geometry-optimized Tl3ReHg structure, computed with GGA-PBE.

Cell lengths 5.377, 5.377, 5.377 Å; angles 90.00, 90.00, 90.00 degrees
Element x y z (fractional)
Re 0.000 0.000 0.000
Tl 0.000 0.500 0.000
Tl 0.000 0.000 0.500
Tl 0.500 0.000 0.000
Hg 0.500 0.500 0.500

Calculated values
E = -17.12 eV per cell
Space-group type = No. 221
Calculated volume = 31.09 Å³/atom
Energy of formation = 52.7 kJ per mole of atoms

---

Offset from the most stable computed form
In order: 4.12 0.39 0.00 0.00 6.65 2.20 3.87 0.00
Unit: kcal/mol of atoms